[1]
! BeCdAg2F6 | the Alexandria database | PBE | relaxed; values from VASP
! - formation energy from raw total energies (eV/atom) = -1.902
&SYSTEM
  ibrav = 0, nat = 10, ntyp = 4
/
ATOMIC_SPECIES
Be 9.01 Be.upf
Cd 112.41 Cd.upf
Ag 107.87 Ag.upf
F 19.00 F.upf
ATOMIC_POSITIONS crystal
Be 0.316 0.316 0.052
Cd 0.816 0.816 0.552
Ag 0.566 0.566 0.302
Ag 0.067 0.066 0.801
F 0.527 0.170 0.280
F 0.169 0.024 0.278
F 0.023 0.531 0.276
F 0.464 0.608 0.825
F 0.610 0.101 0.827
F 0.106 0.462 0.823
CELL_PARAMETERS angstrom
-1.466 4.963 2.283
-2.004 0.204 5.283
3.071 2.239 4.103

***

[2]
! KBeCd2Ag | the Alexandria database | PBE | relaxed; values from VASP
! - E_form (eV per atom) = 0.141
&SYSTEM
  ibrav = 0, nat = 5, ntyp = 4
/
ATOMIC_SPECIES
Be 9.01 Be.upf
K 39.10 K.upf
Ag 107.87 Ag.upf
Cd 112.41 Cd.upf
ATOMIC_POSITIONS crystal
Be 0.000 0.000 0.000
K 0.500 0.500 0.500
Ag 0.000 0.000 0.500
Cd 0.000 0.500 0.000
Cd 0.500 0.000 0.000
CELL_PARAMETERS angstrom
4.888 0.000 0.000
0.000 4.888 0.000
0.000 0.000 4.921

***

[3]
! BeCdAgN2 | the Alexandria database | PBE | relaxed; values from VASP
! - formation energy from raw total energies (eV/atom) = 1.889
&SYSTEM
  ibrav = 0, nat = 5, ntyp = 4
/
ATOMIC_SPECIES
Be 9.01 Be.upf
N 14.01 N.upf
Ag 107.87 Ag.upf
Cd 112.41 Cd.upf
ATOMIC_POSITIONS crystal
Be 0.000 0.500 0.000
N 0.000 0.000 0.500
N 0.500 0.000 0.000
Ag 0.000 0.000 0.000
Cd 0.500 0.500 0.500
CELL_PARAMETERS angstrom
-0.250 -1.082 4.059
4.084 -1.078 -0.036
1.045 3.922 1.110

***

[4]
! BeCd2AgRu | the Alexandria database | PBE | relaxed; values from VASP
! - E_form (eV per atom) = 0.418
&SYSTEM
  ibrav = 0, nat = 5, ntyp = 4
/
ATOMIC_SPECIES
Ru 101.07 Ru.upf
Be 9.01 Be.upf
Ag 107.87 Ag.upf
Cd 112.41 Cd.upf
ATOMIC_POSITIONS crystal
Ru 0.000 0.500 0.000
Be 0.000 0.000 0.000
Ag 0.500 0.500 0.500
Cd 0.000 0.000 0.500
Cd 0.500 0.000 0.000
CELL_PARAMETERS angstrom
-4.089 2.032 0.654
-1.796 -3.686 0.224
0.698 -0.063 4.559

***

[5]
! ScBeCdAg | the Alexandria database | PBE | relaxed; values from VASP
! - E_form (eV per atom) = -0.030
&SYSTEM
  ibrav = 0, nat = 4, ntyp = 4
/
ATOMIC_SPECIES
Sc 44.96 Sc.upf
Be 9.01 Be.upf
Ag 107.87 Ag.upf
Cd 112.41 Cd.upf
ATOMIC_POSITIONS crystal
Sc 0.750 0.750 0.750
Be 0.500 0.500 0.500
Ag 0.000 0.000 0.000
Cd 0.250 0.250 0.250
CELL_PARAMETERS angstrom
4.618 0.000 0.000
2.309 4.000 0.000
2.309 1.333 3.771

***

[6]
! BeCdAgSe2 | the Alexandria database | PBE | relaxed; values from VASP
! - formation energy from raw total energies (eV/atom) = 1.022
&SYSTEM
  ibrav = 0, nat = 5, ntyp = 4
/
ATOMIC_SPECIES
Be 9.01 Be.upf
Se 78.96 Se.upf
Ag 107.87 Ag.upf
Cd 112.41 Cd.upf
ATOMIC_POSITIONS crystal
Be 0.500 0.500 0.500
Se 0.000 0.000 0.500
Se 0.500 0.000 0.000
Ag 0.000 0.500 0.000
Cd 0.000 0.000 0.000
CELL_PARAMETERS angstrom
5.247 0.000 0.000
0.000 5.181 0.000
0.000 0.000 5.247

***

[7]
! Ta2BeCdAg | the Alexandria database | PBE | relaxed; values from VASP
! - E_form (eV per atom) = 1.827
&SYSTEM
  ibrav = 0, nat = 5, ntyp = 4
/
ATOMIC_SPECIES
Be 9.01 Be.upf
Cd 112.41 Cd.upf
Ag 107.87 Ag.upf
Ta 180.95 Ta.upf
ATOMIC_POSITIONS crystal
Be 0.000 0.500 0.000
Cd 0.000 0.000 0.000
Ag 0.500 0.500 0.500
Ta 0.000 0.000 0.500
Ta 0.500 0.000 0.000
CELL_PARAMETERS angstrom
5.066 0.000 0.000
0.000 4.129 0.000
0.000 0.000 5.066

***

[8]
! Ce2BeAg | the Alexandria database | PBE | relaxed; values from VASP
! - E_form (eV per atom) = 0.052
&SYSTEM
  ibrav = 0, nat = 4, ntyp = 3
/
ATOMIC_SPECIES
Be 9.01 Be.upf
Ag 107.87 Ag.upf
Ce 140.12 Ce.upf
ATOMIC_POSITIONS crystal
Be 0.500 0.500 0.000
Ag 0.500 0.500 0.500
Ce 0.000 0.000 0.794
Ce 0.000 0.000 0.206
CELL_PARAMETERS angstrom
3.652 0.000 0.000
0.000 3.652 0.000
0.000 0.000 6.710

***

[9]
! Ce2Be3AgGe4 | the Alexandria database | PBE | relaxed; values from VASP
! - E_form (eV per atom) = -0.342
&SYSTEM
  ibrav = 0, nat = 10, ntyp = 4
/
ATOMIC_SPECIES
Ce 140.12 Ce.upf
Be 9.01 Be.upf
Ag 107.87 Ag.upf
Ge 72.64 Ge.upf
ATOMIC_POSITIONS crystal
Ce 0.500 0.000 0.239
Ce 0.000 0.500 0.761
Be 0.000 0.000 0.500
Be 0.500 0.000 0.882
Be 0.000 0.500 0.118
Ag 0.500 0.500 0.500
Ge 0.500 0.500 0.000
Ge 0.000 0.000 0.000
Ge 0.500 0.000 0.651
Ge 0.000 0.500 0.349
CELL_PARAMETERS angstrom
4.204 0.000 0.000
0.000 4.204 0.000
0.000 0.000 9.791

***

[10]
! Ce2Be3AgPt4 | the Alexandria database | PBE | relaxed; values from VASP
! - E_form (eV per atom) = -0.723
&SYSTEM
  ibrav = 0, nat = 10, ntyp = 4
/
ATOMIC_SPECIES
Ce 140.12 Ce.upf
Be 9.01 Be.upf
Ag 107.87 Ag.upf
Pt 195.08 Pt.upf
ATOMIC_POSITIONS crystal
Ce 0.500 0.000 0.240
Ce 0.000 0.500 0.760
Be 0.000 0.000 0.500
Be 0.500 0.000 0.889
Be 0.000 0.500 0.111
Ag 0.500 0.500 0.500
Pt 0.500 0.500 0.000
Pt 0.000 0.000 0.000
Pt 0.500 0.000 0.673
Pt 0.000 0.500 0.327
CELL_PARAMETERS angstrom
3.998 0.000 0.000
0.000 3.998 0.000
0.000 0.000 10.685

***

[11]
! Ce2Be3Si4Ag | the Alexandria database | PBE | relaxed; values from VASP
! - formation energy from raw total energies (eV/atom) = -0.355
&SYSTEM
  ibrav = 0, nat = 10, ntyp = 4
/
ATOMIC_SPECIES
Ce 140.12 Ce.upf
Be 9.01 Be.upf
Si 28.09 Si.upf
Ag 107.87 Ag.upf
ATOMIC_POSITIONS crystal
Ce 0.500 0.000 0.237
Ce 0.000 0.500 0.763
Be 0.000 0.000 0.500
Be 0.500 0.000 0.881
Be 0.000 0.500 0.119
Si 0.500 0.500 0.000
Si 0.000 0.000 0.000
Si 0.500 0.000 0.651
Si 0.000 0.500 0.349
Ag 0.500 0.500 0.500
CELL_PARAMETERS angstrom
4.060 0.000 0.000
0.000 4.060 0.000
0.000 0.000 9.749

***

[12]
! BeAg3Cl | the Alexandria database | PBE | relaxed; values from VASP
! - relative energy among the computed polymorphs (eV/f.u.) = 0.00
! - formation energy from raw total energies (eV/atom) = 0.402
&SYSTEM
  ibrav = 0, nat = 5, ntyp = 3
/
ATOMIC_SPECIES
Be 9.01 Be.upf
Ag 107.87 Ag.upf
Cl 35.45 Cl.upf
ATOMIC_POSITIONS crystal
Be 0.000 0.000 0.000
Ag 0.000 0.500 0.000
Ag 0.000 0.000 0.500
Ag 0.500 0.000 0.000
Cl 0.500 0.500 0.500
CELL_PARAMETERS angstrom
4.601 0.000 0.000
0.000 4.601 0.000
0.000 0.000 4.601

***

[13]
! Be2AgCl6 | the Alexandria database | PBE | relaxed; values from VASP
! - formation energy from raw total energies (eV/atom) = -0.986
&SYSTEM
  ibrav = 0, nat = 18, ntyp = 3
/
ATOMIC_SPECIES
Be 9.01 Be.upf
Ag 107.87 Ag.upf
Cl 35.45 Cl.upf
ATOMIC_POSITIONS crystal
Be 0.218 0.621 0.780
Be 0.282 0.220 0.379
Be 0.782 0.379 0.220
Be 0.718 0.780 0.621
Ag 0.250 0.129 0.871
Ag 0.750 0.871 0.129
Cl 0.438 0.706 0.587
Cl 0.062 0.413 0.294
Cl 0.562 0.294 0.413
Cl 0.938 0.587 0.706
Cl 0.872 0.870 0.409
Cl 0.628 0.591 0.130
Cl 0.128 0.130 0.591
Cl 0.372 0.409 0.870
Cl 0.139 0.797 0.957
Cl 0.361 0.043 0.203
Cl 0.861 0.203 0.043
Cl 0.639 0.957 0.797
CELL_PARAMETERS angstrom
6.171 0.023 0.022
1.807 8.167 0.006
1.807 0.271 8.163

***

[14]
! BeAg4Cl | the Alexandria database | PBE | relaxed; values from VASP
! - formation energy from raw total energies (eV/atom) = 0.479
&SYSTEM
  ibrav = 0, nat = 6, ntyp = 3
/
ATOMIC_SPECIES
Be 9.01 Be.upf
Ag 107.87 Ag.upf
Cl 35.45 Cl.upf
ATOMIC_POSITIONS crystal
Be 0.750 0.750 0.750
Ag 0.874 0.375 0.375
Ag 0.375 0.375 0.874
Ag 0.375 0.874 0.375
Ag 0.375 0.375 0.375
Cl 0.000 0.000 0.000
CELL_PARAMETERS angstrom
0.150 -5.046 2.286
1.399 -0.587 5.330
-3.831 -1.470 3.724

***

[15]
! BeAg5Cl8 | the Alexandria database | PBE | relaxed; values from VASP
! - formation energy from raw total energies (eV/atom) = -0.615
&SYSTEM
  ibrav = 0, nat = 14, ntyp = 3
/
ATOMIC_SPECIES
Be 9.01 Be.upf
Ag 107.87 Ag.upf
Cl 35.45 Cl.upf
ATOMIC_POSITIONS crystal
Be 0.250 0.750 0.500
Ag 0.835 0.346 0.974
Ag 0.654 0.627 0.488
Ag 0.373 0.861 0.026
Ag 0.500 0.500 0.000
Ag 0.139 0.165 0.512
Cl 0.180 0.857 0.288
Cl 0.143 0.431 0.323
Cl 0.708 0.893 0.302
Cl 0.107 0.410 0.816
Cl 0.594 0.292 0.184
Cl 0.108 0.820 0.677
Cl 0.569 0.892 0.712
Cl 0.590 0.406 0.698
CELL_PARAMETERS angstrom
7.271 -0.043 -2.340
-3.872 6.154 -2.340
0.024 0.043 7.638

***

[16]
! BeAgCl3 | the Alexandria database | PBE | relaxed; values from VASP
! - relative energy among the computed polymorphs (eV/f.u.) = 0.00
! - formation energy from raw total energies (eV/atom) = -1.019
&SYSTEM
  ibrav = 0, nat = 20, ntyp = 3
/
ATOMIC_SPECIES
Be 9.01 Be.upf
Ag 107.87 Ag.upf
Cl 35.45 Cl.upf
ATOMIC_POSITIONS crystal
Be 0.510 0.578 0.112
Be 0.990 0.078 0.388
Be 0.490 0.422 0.888
Be 0.010 0.922 0.612
Ag 0.973 0.598 0.250
Ag 0.527 0.098 0.250
Ag 0.027 0.402 0.750
Ag 0.473 0.902 0.750
Cl 0.216 0.725 0.640
Cl 0.284 0.225 0.860
Cl 0.784 0.275 0.360
Cl 0.716 0.775 0.140
Cl 0.835 0.999 0.765
Cl 0.665 0.499 0.735
Cl 0.165 0.001 0.235
Cl 0.335 0.501 0.265
Cl 0.844 0.844 0.475
Cl 0.656 0.344 0.025
Cl 0.156 0.156 0.525
Cl 0.344 0.656 0.975
CELL_PARAMETERS angstrom
6.638 0.000 0.542
0.000 7.087 0.000
0.626 0.000 11.012

***

[17]
! BeAgCl3 | the Alexandria database | PBE | relaxed; values from VASP
! - relative energy among the computed polymorphs (eV/f.u.) = 6.64
! - formation energy from raw total energies (eV/atom) = 0.309
&SYSTEM
  ibrav = 0, nat = 5, ntyp = 3
/
ATOMIC_SPECIES
Be 9.01 Be.upf
Ag 107.87 Ag.upf
Cl 35.45 Cl.upf
ATOMIC_POSITIONS crystal
Be 0.500 0.500 0.500
Ag 0.000 0.000 0.000
Cl 0.000 0.500 0.000
Cl 0.000 0.000 0.500
Cl 0.500 0.000 0.000
CELL_PARAMETERS angstrom
-2.396 4.412 0.282
-4.210 -2.179 -1.678
-1.350 -1.036 4.732

***

[18]
! BeAgCl3 | the Alexandria database | PBE | relaxed; values from VASP
! - relative energy among the computed polymorphs (eV/f.u.) = 2.18
! - formation energy from raw total energies (eV/atom) = -0.583
&SYSTEM
  ibrav = 0, nat = 5, ntyp = 3
/
ATOMIC_SPECIES
Be 9.01 Be.upf
Ag 107.87 Ag.upf
Cl 35.45 Cl.upf
ATOMIC_POSITIONS crystal
Be 0.000 0.000 0.000
Ag 0.500 0.500 0.500
Cl 0.000 0.500 0.000
Cl 0.000 0.000 0.500
Cl 0.500 0.000 0.000
CELL_PARAMETERS angstrom
4.567 0.000 0.000
0.000 4.567 0.000
0.000 0.000 4.567

***

[19]
! BeAgCl3 | the Alexandria database | PBE | relaxed; values from VASP
! - relative energy among the computed polymorphs (eV/f.u.) = 0.17
! - formation energy from raw total energies (eV/atom) = -0.985
&SYSTEM
  ibrav = 0, nat = 10, ntyp = 3
/
ATOMIC_SPECIES
Be 9.01 Be.upf
Ag 107.87 Ag.upf
Cl 35.45 Cl.upf
ATOMIC_POSITIONS crystal
Be 0.906 0.811 0.718
Be 0.094 0.189 0.282
Ag 0.606 0.212 0.929
Ag 0.394 0.788 0.071
Cl 0.362 0.724 0.620
Cl 0.638 0.276 0.380
Cl 0.833 0.665 0.887
Cl 0.167 0.335 0.113
Cl 0.058 0.116 0.746
Cl 0.942 0.884 0.254
CELL_PARAMETERS angstrom
-1.848 -2.303 -1.856
0.017 -2.473 6.327
-8.720 5.554 1.790

***

[20]
! BeAg2Cl4 | the Alexandria database | PBE | relaxed; values from VASP
! - formation energy from raw total energies (eV/atom) = -0.841
&SYSTEM
  ibrav = 0, nat = 7, ntyp = 3
/
ATOMIC_SPECIES
Be 9.01 Be.upf
Ag 107.87 Ag.upf
Cl 35.45 Cl.upf
ATOMIC_POSITIONS crystal
Be 0.000 0.000 0.000
Ag 0.000 0.500 0.000
Ag 0.500 0.000 0.000
Cl 0.946 0.946 0.259
Cl 0.313 0.313 0.259
Cl 0.687 0.054 0.741
Cl 0.054 0.687 0.741
CELL_PARAMETERS angstrom
6.012 0.000 -2.557
-1.087 5.913 -2.557
-0.892 -1.071 6.249

***

[21]
! BeFe2AgCl | the Alexandria database | PBE | relaxed; values from VASP
! - formation energy from raw total energies (eV/atom) = 0.910
&SYSTEM
  ibrav = 0, nat = 5, ntyp = 4
/
ATOMIC_SPECIES
Be 9.01 Be.upf
Fe 55.84 Fe.upf
Ag 107.87 Ag.upf
Cl 35.45 Cl.upf
ATOMIC_POSITIONS crystal
Be 0.000 0.500 0.000
Fe 0.000 0.000 0.500
Fe 0.500 0.000 0.000
Ag 0.500 0.500 0.500
Cl 0.000 0.000 0.000
CELL_PARAMETERS angstrom
4.161 0.000 0.000
0.000 4.109 0.000
0.000 0.000 4.161

***

[22]
! KBe2AgCl6 | the Alexandria database | PBE | relaxed; values from VASP
! - formation energy from raw total energies (eV/atom) = -1.328
&SYSTEM
  ibrav = 0, nat = 20, ntyp = 4
/
ATOMIC_SPECIES
K 39.10 K.upf
Be 9.01 Be.upf
Ag 107.87 Ag.upf
Cl 35.45 Cl.upf
ATOMIC_POSITIONS crystal
K 0.190 0.810 0.250
K 0.810 0.190 0.750
Be 0.302 0.134 0.774
Be 0.866 0.698 0.726
Be 0.698 0.866 0.226
Be 0.134 0.302 0.274
Ag 0.616 0.384 0.250
Ag 0.384 0.616 0.750
Cl 0.923 0.393 0.193
Cl 0.607 0.077 0.307
Cl 0.077 0.607 0.807
Cl 0.393 0.923 0.693
Cl 0.177 0.125 0.017
Cl 0.875 0.823 0.483
Cl 0.823 0.875 0.983
Cl 0.125 0.177 0.517
Cl 0.303 0.459 0.350
Cl 0.541 0.697 0.150
Cl 0.697 0.541 0.650
Cl 0.459 0.303 0.850
CELL_PARAMETERS angstrom
-1.484 5.956 6.191
5.889 -3.472 5.410
3.870 3.367 -4.119

***

[23]
! KBeAgCl4 | the Alexandria database | PBE | relaxed; values from VASP
! - formation energy from raw total energies (eV/atom) = -1.309
&SYSTEM
  ibrav = 0, nat = 14, ntyp = 4
/
ATOMIC_SPECIES
K 39.10 K.upf
Be 9.01 Be.upf
Ag 107.87 Ag.upf
Cl 35.45 Cl.upf
ATOMIC_POSITIONS crystal
K 0.730 0.750 0.926
K 0.270 0.250 0.074
Be 0.215 0.750 0.307
Be 0.785 0.250 0.693
Ag 0.802 0.750 0.462
Ag 0.198 0.250 0.538
Cl 0.995 0.480 0.722
Cl 0.005 0.980 0.278
Cl 0.005 0.520 0.278
Cl 0.995 0.020 0.722
Cl 0.363 0.750 0.122
Cl 0.637 0.250 0.878
Cl 0.431 0.750 0.537
Cl 0.569 0.250 0.463
CELL_PARAMETERS angstrom
6.333 0.000 0.058
0.000 7.034 0.000
-2.408 0.000 7.961

***

Number 1: density 5.96 g cm⁻³. Number 2: density 5.38 g cm⁻³. Number 3: density 5.71 g cm⁻³. Number 4: density 8.42 g cm⁻³. Number 5: density 6.54 g cm⁻³. Number 6: density 4.51 g cm⁻³. Number 7: density 9.26 g cm⁻³. Number 8: density 7.37 g cm⁻³. Number 9: density 6.77 g cm⁻³. Number 10: density 11.63 g cm⁻³. Number 11: density 5.45 g cm⁻³. Number 12: density 6.28 g cm⁻³. Number 13: density 2.74 g cm⁻³. Number 14: density 6.57 g cm⁻³. Number 15: density 4.04 g cm⁻³. Number 16: density 2.88 g cm⁻³. Number 17: density 2.91 g cm⁻³. Number 18: density 3.89 g cm⁻³. Number 19: density 3.09 g cm⁻³. Number 20: density 3.22 g cm⁻³. Number 21: density 6.16 g cm⁻³. Number 22: density 2.61 g cm⁻³. Number 23: density 2.78 g cm⁻³.